A relaxed structure of ScMn10Be2, computed with PBE.

POSCAR file:
```
ScMn10Be2
1.0
4.078 -4.584 0.000
4.078 4.584 0.000
0.000 0.000 7.853
Sc Mn Be
2 20 4
Direct
0.127 0.873 0.750
0.873 0.127 0.250
0.128 0.382 0.750
0.161 0.839 0.092
0.161 0.839 0.408
0.223 0.223 0.000
0.223 0.223 0.500
0.244 0.489 0.250
0.382 0.128 0.250
0.391 0.609 0.570
0.391 0.609 0.930
0.489 0.244 0.750
0.511 0.756 0.250
0.609 0.391 0.070
0.609 0.391 0.430
0.618 0.872 0.750
0.756 0.511 0.750
0.777 0.777 0.000
0.777 0.777 0.500
0.839 0.161 0.592
0.839 0.161 0.908
0.872 0.618 0.250
0.000 0.500 0.000
0.000 0.500 0.500
0.500 0.000 0.000
0.500 0.000 0.500
```

Computed properties:
The energy of formation is -0.07 eV per atom. For the density of states at the Fermi level, the calculation gives 11.73 states/eV/f.u.